A geometry-optimized ErPuIrPt structure, computed with PBE-GGA.

abc: 4.880 4.880 4.880
angles: 60.00 60.00 60.00
Fractional coordinates of all 4 atoms:
Er 0.000 0.000 0.000
Pu 0.500 0.500 0.500
Ir 0.250 0.250 0.250
Pt 0.750 0.750 0.750

## Properties
Space-group type: F-43m, No. 216
E_tot: -9.238 eV per atom
Mass density: 16.13 g/cm³
Energy of formation: -0.789 eV per atom